[1]
Compound: YZr2Cu
Source: the Alexandria database
Functional: PBE
Structure: relaxed

Geometry as POSCAR:
```
YZr2Cu
1.0
-0.760 -3.855 -2.490
4.279 -0.710 -0.206
-0.210 -2.324 3.662
Zr Cu Y
2 1 1
Direct
0.000 0.000 0.000
0.000 0.500 0.500
0.500 0.500 0.000
0.500 0.000 0.500
```

Output
Space-group type: P4/mmm

[2]
Compound: YZr2Cu
Source: the Alexandria database
Functional: PBE
Structure: relaxed

Geometry as POSCAR:
```
YZr2Cu
1.0
3.304 0.000 0.000
0.000 4.983 0.000
0.000 0.000 5.389
Cu Y Zr
1 1 2
Direct
0.500 0.000 0.500
0.000 0.500 0.500
0.000 0.000 0.000
0.500 0.500 0.000
```

Output
Space-group type: Pmmm

[3]
Compound: YZrCu
Source: the Alexandria database
Functional: PBE
Structure: relaxed

Geometry as POSCAR:
```
YZrCu
1.0
-7.142 -0.935 -1.246
-0.452 -1.990 4.085
-1.513 7.141 3.311
Cu Y Zr
4 4 4
Direct
0.224 0.750 0.612
0.776 0.250 0.388
0.276 0.250 0.112
0.724 0.750 0.888
0.027 0.250 0.830
0.473 0.750 0.330
0.527 0.250 0.670
0.973 0.750 0.170
0.362 0.750 0.924
0.862 0.750 0.576
0.638 0.250 0.076
0.138 0.250 0.424
```

Output
Space-group type: Pnma

[4]
Compound: YZrCu
Source: the Alexandria database
Functional: PBE
Structure: relaxed

Geometry as POSCAR:
```
YZrCu
1.0
7.158 -0.001 0.001
0.001 5.173 0.001
-2.978 -2.587 3.526
Cu Y Zr
2 2 2
Direct
0.523 0.420 0.913
0.523 0.920 0.913
0.312 0.814 0.202
0.734 0.526 0.624
0.023 0.002 0.577
0.023 0.338 0.249
```

Output
Space-group type: Fmmm

Sequential distance to the lowest polymorph of the same formula output: 0.212; 0.206; 0.030; 0.051 eV/atom
Sequential E_form output: 0.15; 0.14; -0.10; -0.07 eV/atom